Density functional theory data (GGA+U) for a geometry-optimized CsHg2MoF8 structure.

It has space group P-1 (No. 2), with a = 5.166 Å, b = 5.649 Å, c = 8.022 Å, α = 92.68°, β = 90.72° and γ = 97.40°. Symmetry generates all atoms from Cs at (0.000, 0.000, 0.000), Hg at (0.486, 0.486, 0.755), Mo at (0.000, 0.000, 0.500), F at (0.128, 0.795, 0.320), F at (0.146, 0.812, 0.671), F at (0.330, 0.256, 0.502) and F at (0.468, 0.726, 0.991).

As for the mass density: 5601 kg/m³. For the total energy, the calculation gives -3.947 eV per atom. As for the density of states at the Fermi level: 0.293 states/eV per atom.